RhWI2O: optimized geometry, GGA+U.

Structure (POSCAR):
```
RhWI2O
1.0
-3.140 2.923 3.680
-4.395 -3.394 -1.054
1.107 -2.291 2.764
I O W Rh
2 1 1 1
direct
0.000 0.500 0.000
0.500 0.000 0.000
0.000 0.000 0.500
0.500 0.500 0.500
0.000 0.000 0.000
```

As for the volume: 120.0 Å³/cell. The calculation puts the total energy at -4.05 eV per atom. For the density, the calculation gives 7.70 g cm⁻³. Its density of states at the Fermi level is 0.632 states/eV per atom.